Record 1
PuTaCoRu: optimized geometry, GGA-PBE.

Cell: 4.5675 4.5675 4.5675 Å, 60.00 60.00 60.00°
Last column: nearest neighbours and their distance in Å.
Fractional coordinates of all 4 atoms:
Ru  0.7500  0.7500  0.7500  4 Ta 2.80, 4 Pu 2.80
Ta  0.5000  0.5000  0.5000  4 Co 2.80, 4 Ru 2.80
Co  0.2500  0.2500  0.2500  4 Ta 2.80, 4 Pu 2.80
Pu  0.0000  0.0000  0.0000  4 Ru 2.80, 4 Co 2.80

## Properties
D(E_F)	8.260	states/eV per cell
total magnetization	1.002	μB per atom
space-group type	No. 216
calculated formation energy	21	meV per atom

Record 2
Tm2Th3Pb3: optimized geometry, GGA-PBE.

Cell: 6.4392 9.3054 9.3054 Å, 120.00 90.00 90.00°
Last column: nearest neighbours and their distance in Å.
Fractional coordinates of all 16 atoms:
Tm  0.0000  0.3333  0.6667  2 Tm 3.22, 6 Pb 3.26
Tm  0.5000  0.6667  0.3333  2 Tm 3.22, 6 Pb 3.26
Tm  0.0000  0.6667  0.3333  2 Tm 3.22, 6 Pb 3.26
Tm  0.5000  0.3333  0.6667  2 Tm 3.22, 6 Pb 3.26
Th  0.7500  0.2391  0.0000  5 Pb 3.26-3.56
Th  0.7500  0.7609  0.7609  5 Pb 3.26-3.56
Th  0.7500  0.0000  0.2391  5 Pb 3.26-3.56
Th  0.2500  0.7609  0.0000  5 Pb 3.26-3.56
Th  0.2500  0.2391  0.2391  5 Pb 3.26-3.56
Th  0.2500  0.0000  0.7609  5 Pb 3.26-3.56
Pb  0.7500  0.5981  0.0000  5 Th 3.26-3.56, 4 Tm 3.26
Pb  0.7500  0.4019  0.4019  5 Th 3.26-3.56, 4 Tm 3.26
Pb  0.7500  0.0000  0.5981  5 Th 3.26-3.56, 4 Tm 3.26
Pb  0.2500  0.4019  0.0000  5 Th 3.26-3.56, 4 Tm 3.26
Pb  0.2500  0.5981  0.5981  5 Th 3.26-3.56, 4 Tm 3.26
Pb  0.2500  0.0000  0.4019  5 Th 3.26-3.56, 4 Tm 3.26

## Properties
D(E_F)	13.818	states/eV per cell
energy above the lowest structure with this stoichiometry	0.0	kJ per mole of atoms
total magnetization	0.000	μB per atom
space-group type	No. 193
calculated formation energy	-332	meV per atom

Record 3
Cr2CdBr: optimized geometry, GGA-PBE.

Cell: 3.0562 3.2268 8.1854 Å, 88.71 90.00 90.00°
Last column: nearest neighbours and their distance in Å.
Fractional coordinates of all 4 atoms:
Br  0.0000  0.4853  0.4429  2 Cr 2.51
Cd  0.5000  0.5172  0.8111  5 Cr 2.94-3.18, 4 Cd 3.06-3.23
Cr  0.0000  0.0029  0.0459  4 Cr 2.55-2.56
Cr  0.5000  0.4946  0.2000  2 Br 2.51, 4 Cr 2.55-2.56

## Properties
D(E_F)	2.901	states/eV per cell
energy above the lowest structure with this stoichiometry	0.6	kJ per mole of atoms
ΔE_f (raw)	0.25	eV per atom
total magnetization	0.117	μB per atom
space-group type	No. 6

no.,total DFT energy (no corrections) (eV/atom)
1,-10.62
2,-5.62
3,-5.21